Entry from Alexandria via LeMat-Bulk: crystalline BaCdIn2Rh at its relaxed geometry (PBE).

Calculated values
- Energy relative to the lowest polymorph listed for this composition: 143 meV per atom
- Uncorrected energy: -3.37 eV/atom

Lattice parameters (Å, degrees): 5.2295 5.2295 5.9121 90.00 90.00 90.00
Fractional coordinates of all 5 atoms:
Ba 0.0000 0.0000 0.5000
In 0.0000 0.5000 0.0000
In 0.5000 0.0000 0.0000
Rh 0.0000 0.0000 0.0000
Cd 0.5000 0.5000 0.5000

***

Entry from Alexandria via LeMat-Bulk: crystalline Nb3AsRu at its relaxed geometry (PBE).

Calculated values
- Energy relative to the lowest polymorph listed for this composition: 31 meV per atom
- Uncorrected energy: -7.87 eV/atom

Lattice parameters (Å, degrees): 4.8069 4.8069 4.8069 90.00 90.00 90.00
Fractional coordinates of all 5 atoms:
Nb 0.5000 0.0000 0.0000
Nb 0.0000 0.5000 0.0000
As 0.5000 0.5000 0.5000
Ru 0.0000 0.0000 0.0000
Nb 0.0000 0.0000 0.5000

***

Entry from Alexandria via LeMat-Bulk: crystalline U3Tl3CuTe8 at its relaxed geometry (PBE).

Calculated values
- Uncorrected energy: -5.10 eV/atom
- Raw formation energy: -0.42 eV per atom

Lattice parameters (Å, degrees): 8.9533 8.5327 9.4849 114.20 90.00 121.64
Fractional coordinates of all 15 atoms:
Tl 0.0000 0.5000 0.0000
Tl 0.5000 0.5000 0.0000
Te 0.2483 0.9668 0.7163
Te 0.7400 0.4799 0.7179
Te 0.7944 0.5888 0.3155
Te 0.2815 0.0332 0.2837
Te 0.7185 0.9668 0.7163
Te 0.7517 0.0332 0.2837
Tl 0.0000 0.0000 0.0000
Te 0.2056 0.4112 0.6845
Cu 0.0000 0.0000 0.5000
U 0.5000 0.5000 0.5000
U 0.5000 0.0000 0.5000
Te 0.2600 0.5201 0.2821
U 0.0000 0.5000 0.5000

***

Entry from Alexandria via LeMat-Bulk: crystalline NdB4 at its relaxed geometry (PBE).

Calculated values
- Energy relative to the lowest polymorph listed for this composition: 0 meV per atom
- Uncorrected energy: -6.86 eV/atom

Lattice parameters (Å, degrees): 7.2388 7.2388 4.1197 90.00 90.00 90.00
Fractional coordinates of all 20 atoms:
Nd 0.3173 0.1827 0.0000
B 0.9121 0.5879 0.5000
Nd 0.8173 0.3173 0.0000
Nd 0.6827 0.8173 0.0000
B 0.3257 0.4609 0.5000
B 0.4121 0.9121 0.5000
B 0.0879 0.4121 0.5000
B 0.5879 0.0879 0.5000
B 0.9609 0.8257 0.5000
B 0.8257 0.0391 0.5000
B 0.5000 0.5000 0.2053
B 0.0000 0.0000 0.7947
B 0.5000 0.5000 0.7947
B 0.4609 0.6743 0.5000
B 0.6743 0.5391 0.5000
B 0.0391 0.1743 0.5000
Nd 0.1827 0.6827 0.0000
B 0.5391 0.3257 0.5000
B 0.0000 0.0000 0.2053
B 0.1743 0.9609 0.5000

***

Entry from Alexandria via LeMat-Bulk: crystalline CdGeH2Br at its relaxed geometry (PBE).

Calculated values
- Uncorrected energy: -2.16 eV/atom

Lattice parameters (Å, degrees): 3.9506 5.8832 3.9506 90.00 90.00 90.00
Fractional coordinates of all 5 atoms:
Ge 0.0000 0.5000 0.0000
H 0.5000 0.0000 0.0000
Cd 0.5000 0.5000 0.5000
Br 0.0000 0.0000 0.0000
H 0.0000 0.0000 0.5000

***

Entry from Alexandria via LeMat-Bulk: crystalline AcCe3Nd2S6 at its relaxed geometry (PBE).

Calculated values
- Uncorrected energy: -6.70 eV/atom
- Raw formation energy: -2.02 eV per atom

Lattice parameters (Å, degrees): 7.0848 7.0848 7.1015 99.59 99.59 120.03
Fractional coordinates of all 12 atoms:
Nd 0.6669 0.3331 0.0000
Ac 0.0000 0.0000 0.0000
Ce 0.5000 0.5000 0.5000
Ce 0.1647 0.8353 0.5000
S 0.5725 0.9137 0.7415
S 0.4275 0.0863 0.2585
Ce 0.8353 0.1647 0.5000
Nd 0.3331 0.6669 0.0000
S 0.9137 0.5725 0.7415
S 0.2561 0.2561 0.7441
S 0.0863 0.4275 0.2585
S 0.7439 0.7439 0.2559

***

Entry from Alexandria via LeMat-Bulk: crystalline Cd2IrCl at its relaxed geometry (PBE).

Calculated values
- Energy relative to the lowest polymorph listed for this composition: 151 meV per atom
- Uncorrected energy: -3.11 eV/atom
- Raw formation energy: 0.02 eV per atom

Lattice parameters (Å, degrees): 8.7328 8.7328 8.7328 21.59 21.59 21.59
Fractional coordinates of all 4 atoms:
Cd 0.4963 0.4963 0.4963
Ir 0.7500 0.7500 0.7500
Cl 0.2500 0.2500 0.2500
Cd 0.0037 0.0037 0.0037

***

Entry from Alexandria via LeMat-Bulk: crystalline Ac3Sm2PaN6 at its relaxed geometry (PBE).

Calculated values
- Uncorrected energy: -8.11 eV/atom
- Raw formation energy: -1.34 eV per atom

Lattice parameters (Å, degrees): 6.3837 6.3837 6.5261 99.37 99.37 119.92
Fractional coordinates of all 12 atoms:
Sm 0.3335 0.6665 0.0000
Ac 0.8311 0.1689 0.5000
N 0.3800 0.0713 0.2139
N 0.6200 0.9287 0.7861
Ac 0.5000 0.5000 0.5000
N 0.0713 0.3800 0.2139
Ac 0.1689 0.8311 0.5000
N 0.2367 0.2367 0.7792
N 0.9287 0.6200 0.7861
Sm 0.6665 0.3335 0.0000
N 0.7633 0.7633 0.2208
Pa 0.0000 0.0000 0.0000

***

Entry from Alexandria via LeMat-Bulk: crystalline NbHg3H at its relaxed geometry (PBE).

Calculated values
- Energy relative to the lowest polymorph listed for this composition: 0 meV per atom
- Uncorrected energy: -2.21 eV/atom

Lattice parameters (Å, degrees): 4.4230 4.4230 4.4230 90.00 90.00 90.00
Fractional coordinates of all 5 atoms:
Nb 0.5000 0.5000 0.5000
Hg 0.5000 0.0000 0.0000
Hg 0.0000 0.5000 0.0000
Hg 0.0000 0.0000 0.5000
H 0.0000 0.0000 0.0000

***

Entry from Alexandria via LeMat-Bulk: crystalline TmPd2Pb at its relaxed geometry (PBE).

Calculated values
- Uncorrected energy: -5.29 eV/atom

Lattice parameters (Å, degrees): 3.5482 3.5482 6.6449 90.00 90.00 90.00
Fractional coordinates of all 4 atoms:
Pd 0.0000 0.0000 0.2266
Pb 0.5000 0.5000 0.5000
Pd 0.0000 0.0000 0.7734
Tm 0.5000 0.5000 0.0000

***

Entry from Alexandria via LeMat-Bulk: crystalline Ba2CaTlRh at its relaxed geometry (PBE).

Calculated values
- Energy relative to the lowest polymorph listed for this composition: 85 meV per atom
- Uncorrected energy: -3.22 eV/atom

Lattice parameters (Å, degrees): 6.0360 6.0360 5.4553 90.00 90.00 90.00
Fractional coordinates of all 5 atoms:
Ba 0.5000 0.0000 0.0000
Ca 0.5000 0.5000 0.5000
Rh 0.0000 0.0000 0.0000
Ba 0.0000 0.5000 0.0000
Tl 0.0000 0.0000 0.5000

***

Entry from Alexandria via LeMat-Bulk: crystalline Nd5SbSe4 at its relaxed geometry (PBE).

Calculated values
- Uncorrected energy: -5.89 eV/atom
- Raw formation energy: -1.70 eV per atom

Lattice parameters (Å, degrees): 4.2991 6.0710 11.3589 105.50 100.91 90.00
Fractional coordinates of all 10 atoms:
Sb 0.0000 0.0000 0.0000
Nd 0.1991 0.6991 0.3983
Se 0.2031 0.2031 0.4063
Nd 0.0000 0.5000 0.0000
Se 0.3994 0.3994 0.7989
Nd 0.3947 0.8947 0.7895
Nd 0.6053 0.1053 0.2105
Se 0.7969 0.7969 0.5937
Nd 0.8009 0.3009 0.6017
Se 0.6006 0.6006 0.2011

***

Number 1: volume 161.68 Å³/f.u., ρ 6.0 g cm⁻³. Number 2: volume 111.07 Å³/f.u., ρ 6.8 g cm⁻³. Number 3: volume 540.67 Å³/f.u., ρ 7.4 g cm⁻³. Number 4: volume 53.97 Å³/f.u., ρ 5.8 g cm⁻³. Number 5: volume 91.82 Å³/f.u., ρ 4.8 g cm⁻³. Number 6: volume 290.94 Å³/f.u., ρ 6.4 g cm⁻³. Number 7: volume 79.00 Å³/f.u., ρ 9.5 g cm⁻³. Number 8: volume 217.97 Å³/f.u., ρ 9.9 g cm⁻³. Number 9: volume 86.53 Å³/f.u., ρ 13.4 g cm⁻³. Number 10: volume 83.66 Å³/f.u., ρ 11.7 g cm⁻³. Number 11: volume 198.76 Å³/f.u., ρ 5.2 g cm⁻³. Number 12: volume 280.12 Å³/f.u., ρ 6.9 g cm⁻³.